La3TeS2 | PBE-GGA | relaxed

- Raw total energy: -72.5 eV per cell
- Mass density: 5.75 Mg/m³

abc: 7.538 7.538 10.894
angles: 90.00 90.00 145.39
Fractional coordinates of all 12 atoms:
La (0.083, 0.917, 0.750)
La (0.358, 0.642, 0.552)
La (0.358, 0.642, 0.948)
La (0.642, 0.358, 0.052)
La (0.642, 0.358, 0.448)
La (0.917, 0.083, 0.250)
Te (0.248, 0.752, 0.250)
Te (0.752, 0.248, 0.750)
S (0.000, 0.000, 0.000)
S (0.000, 0.000, 0.500)
S (0.475, 0.525, 0.750)
S (0.525, 0.475, 0.250)